Below is a relaxed CaTa3Tc crystal, with properties calculated at the PBE level.

```
5
Lattice="4.900 0.000 0.000 0.000 4.900 0.000 0.000 0.000 4.900" Properties=species:S:1:pos:R:3 pbc="T T T"
Ca 2.450 2.450 2.450
Tc 0.000 0.000 0.000
Ta 0.000 2.450 0.000
Ta 0.000 0.000 2.450
Ta 2.450 0.000 0.000
```

For the size of the total moment, the calculation gives 0.00 μB/atom. The value obtained for the polymorph energy (0 for the lowest one) is 0.00 eV/f.u. Its space-group type is Pm-3m (221). The value obtained for the formation energy is 915 meV/atom. The calculated volume is 23.528 Å³ per atom.

Below is a relaxed CaTaTc3 crystal, with properties calculated at the PBE level.

```
5
Lattice="4.828 0.000 0.000 0.000 4.828 0.000 0.000 0.000 4.828" Properties=species:S:1:pos:R:3 pbc="T T T"
Ca 2.414 2.414 2.414
Tc 0.000 2.414 0.000
Tc 0.000 0.000 2.414
Tc 2.414 0.000 0.000
Ta 0.000 0.000 0.000
```

For the size of the total moment, the calculation gives 0.54 μB/atom. The value obtained for the polymorph energy (0 for the lowest one) is 0.00 eV/f.u. Its space-group type is Pm-3m (221). The value obtained for the formation energy is 1188 meV/atom. The calculated volume is 22.512 Å³ per atom.

Below is a relaxed CaTa3Tc crystal, with properties calculated at the PBE level.

```
5
Lattice="-2.496 3.890 -0.027 -3.619 -2.311 1.710 1.426 0.945 4.294" Properties=species:S:1:pos:R:3 pbc="T T T"
Ca 0.000 0.000 0.000
Tc -2.345 1.262 2.988
Ta -1.810 -1.155 0.855
Ta 0.713 0.473 2.147
Ta -1.248 1.945 -0.014
```

For the size of the total moment, the calculation gives 0.00 μB/atom. The value obtained for the polymorph energy (0 for the lowest one) is 9.12 eV/f.u. Its space-group type is Pm-3m (221). The value obtained for the formation energy is 2739 meV/atom. The calculated volume is 19.747 Å³ per atom.

Below is a relaxed CaTaTc2Te crystal, with properties calculated at the PBE level.

```
5
Lattice="4.755 0.000 0.000 0.000 5.941 0.000 0.000 0.000 4.755" Properties=species:S:1:pos:R:3 pbc="T T T"
Ca 0.000 2.970 0.000
Te 2.377 2.970 2.377
Tc 0.000 0.000 2.377
Tc 2.377 0.000 0.000
Ta 0.000 0.000 0.000
```

For the size of the total moment, the calculation gives 0.55 μB/atom. Its space-group type is P4/mmm (123). The calculated volume is 26.864 Å³ per atom. As for the total energy: -6.447 eV per atom.

Below is a relaxed CaTaVTc2 crystal, with properties calculated at the PBE level.

```
5
Lattice="-4.156 2.300 -0.936 -0.395 -2.390 -4.122 -2.451 -3.506 2.268" Properties=species:S:1:pos:R:3 pbc="T T T"
Ca -3.501 -1.798 -1.395
V -0.197 -1.195 -2.061
Tc -1.225 -1.753 1.134
Tc -2.078 1.150 -0.468
Ta 0.000 0.000 0.000
```

For the size of the total moment, the calculation gives 0.16 μB/atom. Its space-group type is P4/mmm (123). The value obtained for the formation energy is 1136 meV/atom. The calculated volume is 22.413 Å³ per atom.

Below is a relaxed CaZr2TaTc crystal, with properties calculated at the PBE level.

```
5
Lattice="5.253 0.000 0.000 0.000 4.769 0.000 0.000 0.000 5.253" Properties=species:S:1:pos:R:3 pbc="T T T"
Ca 2.627 2.385 2.627
Tc 0.000 2.385 0.000
Zr 0.000 0.000 2.627
Zr 2.627 0.000 0.000
Ta 0.000 0.000 0.000
```

For the size of the total moment, the calculation gives 0.06 μB/atom. Its space-group type is P4/mmm (123). The value obtained for the formation energy is 799 meV/atom. The calculated volume is 26.324 Å³ per atom.

Below is a relaxed CaTa2Te crystal, with properties calculated at the PBE level.

```
4
Lattice="4.915 0.000 0.000 2.457 4.256 0.000 2.457 1.419 4.013" Properties=species:S:1:pos:R:3 pbc="T T T"
Ca 4.915 2.837 2.006
Te 7.372 4.256 3.010
Ta 0.000 0.000 0.000
Ta 2.457 1.419 1.003
```

For the size of the total moment, the calculation gives 0.00 μB/atom. Its space-group type is F-43m (216). The calculated volume is 20.983 Å³ per atom. As for the total energy: -6.784 eV per atom.

Below is a relaxed CaTa2Te crystal, with properties calculated at the PBE level.

```
4
Lattice="4.441 0.000 0.000 0.000 3.486 0.049 0.000 1.652 6.187" Properties=species:S:1:pos:R:3 pbc="T T T"
Ca 2.220 3.642 4.324
Te 0.000 1.917 3.056
Ta 0.000 3.691 0.823
Ta 2.220 1.942 1.201
```

For the size of the total moment, the calculation gives 0.00 μB/atom. Its space-group type is Amm2 (38). The calculated volume is 23.855 Å³ per atom. As for the total energy: -7.072 eV per atom.

- Which formula does entry 6 have?
  CaZr2TaTc